{
  "formula": "RuPtCl2",
  "functional": "GGA-PBE",
  "state": "optimized geometry",
  "formation_energy_uncorrected_mev_per_atom": 597,
  "polymorph_energy_mev_per_atom": 573,
  "magmom_total_mub_per_cell": 0.5,
  "cell": [[4.165, 0.000, 0.000], [0.000, 3.084, 0.004], [0.000, -0.332, 5.138]],
  "species": ["Pt", "Ru", "Cl", "Cl"],
  "frac_coords": [[0.500, 0.250, 0.250], [0.500, 0.750, 0.750], [0.000, 0.528, 0.509], [0.000, 0.972, 0.991]]
}

{
  "formula": "RuPtCl2",
  "functional": "GGA-PBE",
  "state": "optimized geometry",
  "formation_energy_uncorrected_mev_per_atom": 609,
  "polymorph_energy_mev_per_atom": 585,
  "magmom_total_mub_per_cell": 0.6,
  "cell": [[2.916, 0.000, 0.000], [0.000, 5.551, 0.000], [0.000, 0.000, 4.122]],
  "species": ["Ru", "Cl", "Pt", "Cl"],
  "frac_coords": [[0.000, 0.500, 0.500], [0.000, 0.000, 0.000], [0.500, 0.000, 0.500], [0.500, 0.500, 0.000]]
}

{
  "formula": "RuPtCl2",
  "functional": "GGA-PBE",
  "state": "optimized geometry",
  "formation_energy_uncorrected_mev_per_atom": 190,
  "polymorph_energy_mev_per_atom": 165,
  "magmom_total_mub_per_cell": 0.7,
  "cell": [[-0.638, -3.538, -3.323], [-2.343, -4.202, -0.904], [-5.743, 1.637, -3.600]],
  "species": ["Cl", "Cl", "Pt", "Ru"],
  "frac_coords": [[0.895, 0.895, 0.083], [0.730, 0.730, 0.640], [0.556, 0.556, 0.432], [0.319, 0.319, 0.345]]
}

{
  "formula": "RuPtCl2",
  "functional": "GGA-PBE",
  "state": "optimized geometry",
  "formation_energy_uncorrected_mev_per_atom": 612,
  "polymorph_energy_mev_per_atom": 588,
  "magmom_total_mub_per_cell": 1.9,
  "cell": [[5.488, -0.012, -0.034], [-2.960, 4.413, 0.019], [-0.433, 1.029, 2.831]],
  "species": ["Pt", "Cl", "Cl", "Ru"],
  "frac_coords": [[0.000, 0.500, 0.500], [0.500, 0.000, 0.500], [0.000, 0.000, 0.000], [0.500, 0.500, 0.000]]
}

{
  "formula": "RuPt3Cl",
  "functional": "GGA-PBE",
  "state": "optimized geometry",
  "formation_energy_uncorrected_mev_per_atom": 1383,
  "polymorph_energy_mev_per_atom": 51,
  "magmom_total_mub_per_cell": 0.0,
  "cell": [[4.822, 0.000, 0.000], [0.000, 4.822, 0.000], [0.000, 0.000, 4.822]],
  "species": ["Pt", "Pt", "Ru", "Pt", "Cl"],
  "frac_coords": [[0.000, 0.000, 0.500], [0.000, 0.500, 0.000], [0.000, 0.000, 0.000], [0.500, 0.000, 0.000], [0.500, 0.500, 0.500]]
}

{
  "formula": "Ru3PtCl",
  "functional": "GGA-PBE",
  "state": "optimized geometry",
  "formation_energy_uncorrected_mev_per_atom": 1856,
  "polymorph_energy_mev_per_atom": 690,
  "magmom_total_mub_per_cell": 7.6,
  "cell": [[-0.092, -3.562, -3.375], [3.830, 2.057, -2.275], [3.066, -2.677, 2.742]],
  "species": ["Cl", "Pt", "Ru", "Ru", "Ru"],
  "frac_coords": [[0.500, 0.500, 0.500], [0.000, 0.000, 0.000], [0.000, 0.500, 0.000], [0.500, 0.000, 0.000], [0.000, 0.000, 0.500]]
}

{
  "formula": "RuPtCl2",
  "functional": "GGA-PBE",
  "state": "optimized geometry",
  "formation_energy_uncorrected_mev_per_atom": 505,
  "polymorph_energy_mev_per_atom": 480,
  "magmom_total_mub_per_cell": 0.0,
  "cell": [[-2.235, 1.777, -1.062], [-0.337, -1.886, 2.368], [2.465, 6.319, 5.384]],
  "species": ["Cl", "Pt", "Cl", "Ru"],
  "frac_coords": [[0.000, 0.000, 0.529], [0.500, 0.500, 0.250], [0.000, 0.000, 0.971], [0.500, 0.500, 0.750]]
}

{
  "formula": "RuPtCl2",
  "functional": "GGA-PBE",
  "state": "optimized geometry",
  "formation_energy_uncorrected_mev_per_atom": 917,
  "polymorph_energy_mev_per_atom": 892,
  "magmom_total_mub_per_cell": 3.2,
  "cell": [[0.000, 3.234, 3.234], [3.234, 0.000, 3.234], [3.234, 3.234, 0.000]],
  "species": ["Cl", "Pt", "Ru", "Cl"],
  "frac_coords": [[0.750, 0.750, 0.750], [0.500, 0.500, 0.500], [0.000, 0.000, 0.000], [0.250, 0.250, 0.250]]
}